# 1
Below is a relaxed SmGdInAg crystal, with properties calculated at the PBE level.

The space group is F-43m (No. 216) and the conventional cell measures 7.5289, 7.5289 and 7.5289 Å, with angles of 90.00, 90.00 and 90.00 degrees. The inequivalent atoms are Sm at (0.0000, 0.0000, 0.0000), Gd at (0.0000, 0.0000, 0.5000), In at (0.2500, 0.2500, 0.2500) and Ag at (0.2500, 0.2500, 0.7500).

As for the magnetization: 7.68 μB/f.u. Its formation enthalpy at 0 K is -393 meV per atom.

# 2
Below is a relaxed GdInAgSn crystal, with properties calculated at the PBE level.

The space group is F-43m (No. 216) and the conventional cell measures 7.3402, 7.3402 and 7.3402 Å, with angles of 90.00, 90.00 and 90.00 degrees. The inequivalent atoms are Gd at (0.0000, 0.0000, 0.0000), In at (0.0000, 0.0000, 0.5000), Ag at (0.2500, 0.2500, 0.2500) and Sn at (0.2500, 0.2500, 0.7500).

As for the magnetization: 6.97 μB/f.u. Its formation enthalpy at 0 K is -239 meV per atom.

# 3
Below is a relaxed GdThInAg crystal, with properties calculated at the PBE level.

The space group is F-43m (No. 216) and the conventional cell measures 7.5780, 7.5780 and 7.5780 Å, with angles of 90.00, 90.00 and 90.00 degrees. The inequivalent atoms are Gd at (0.0000, 0.0000, 0.0000), Th at (0.0000, 0.0000, 0.5000), In at (0.2500, 0.2500, 0.7500) and Ag at (0.2500, 0.2500, 0.2500).

As for the magnetization: 8.05 μB/f.u. Its formation enthalpy at 0 K is -245 meV per atom.

# 4
Below is a relaxed GdTlInAg crystal, with properties calculated at the PBE level.

The space group is F-43m (No. 216) and the conventional cell measures 7.3127, 7.3127 and 7.3127 Å, with angles of 90.00, 90.00 and 90.00 degrees. The inequivalent atoms are Gd at (0.0000, 0.0000, 0.0000), Tl at (0.2500, 0.2500, 0.7500), In at (0.0000, 0.0000, 0.5000) and Ag at (0.2500, 0.2500, 0.2500).

As for the magnetization: 7.02 μB/f.u. Its formation enthalpy at 0 K is -236 meV per atom.

# 5
Below is a relaxed GdYInAg crystal, with properties calculated at the PBE level.

The space group is F-43m (No. 216) and the conventional cell measures 7.4620, 7.4620 and 7.4620 Å, with angles of 90.00, 90.00 and 90.00 degrees. The inequivalent atoms are Gd at (0.0000, 0.0000, 0.0000), Y at (0.0000, 0.0000, 0.5000), In at (0.2500, 0.2500, 0.7500) and Ag at (0.2500, 0.2500, 0.2500).

As for the magnetization: 7.57 μB/f.u. Its formation enthalpy at 0 K is -414 meV per atom.

# 6
Below is a relaxed GdZnInAg crystal, with properties calculated at the PBE level.

The space group is F-43m (No. 216) and the conventional cell measures 6.9816, 6.9816 and 6.9816 Å, with angles of 90.00, 90.00 and 90.00 degrees. The inequivalent atoms are Gd at (0.0000, 0.0000, 0.0000), Zn at (0.2500, 0.2500, 0.2500), In at (0.0000, 0.0000, 0.5000) and Ag at (0.2500, 0.2500, 0.7500).

As for the magnetization: 7.00 μB/f.u. Its formation enthalpy at 0 K is -338 meV per atom.

# 7
Below is a relaxed GdZrInAg crystal, with properties calculated at the PBE level.

The space group is F-43m (No. 216) and the conventional cell measures 7.2433, 7.2433 and 7.2433 Å, with angles of 90.00, 90.00 and 90.00 degrees. The inequivalent atoms are Gd at (0.0000, 0.0000, 0.0000), Zr at (0.0000, 0.0000, 0.5000), In at (0.2500, 0.2500, 0.7500) and Ag at (0.2500, 0.2500, 0.2500).

As for the magnetization: 8.31 μB/f.u. Its formation enthalpy at 0 K is -211 meV per atom.

# 8
Below is a relaxed GdAgIr4 crystal, with properties calculated at the PBE level.

The space group is F-43m (No. 216) and the conventional cell measures 7.5030, 7.5030 and 7.5030 Å, with angles of 90.00, 90.00 and 90.00 degrees. The inequivalent atoms are Gd at (0.0000, 0.0000, 0.0000), Ag at (0.2500, 0.2500, 0.7500) and Ir at (0.1248, 0.1248, 0.3752).

As for the magnetization: 6.40 μB/f.u. Its formation enthalpy at 0 K is -252 meV per atom.

# 9
Below is a relaxed GdAgIr crystal, with properties calculated at the PBE level.

The space group is I4mm (No. 107) and the conventional cell measures 3.6013, 3.6013 and 9.3895 Å, with angles of 90.00, 90.00 and 90.00 degrees. The inequivalent atoms are Gd at (0.0000, 0.0000, 0.0000), Ag at (0.0000, 0.0000, 0.6871) and Ir at (0.0000, 0.0000, 0.3474).

As for the magnetization: 7.05 μB/f.u. Its formation enthalpy at 0 K is -220 meV per atom.

# 10
Below is a relaxed LaGdAgIr crystal, with properties calculated at the PBE level.

The space group is F-43m (No. 216) and the conventional cell measures 7.2488, 7.2488 and 7.2488 Å, with angles of 90.00, 90.00 and 90.00 degrees. The inequivalent atoms are La at (0.0000, 0.0000, 0.0000), Gd at (0.0000, 0.0000, 0.5000), Ag at (0.2500, 0.2500, 0.7500) and Ir at (0.2500, 0.2500, 0.2500).

As for the magnetization: 7.14 μB/f.u. Its formation enthalpy at 0 K is -484 meV per atom.

# 11
Below is a relaxed PmGdAgIr crystal, with properties calculated at the PBE level.

The space group is F-43m (No. 216) and the conventional cell measures 7.1599, 7.1599 and 7.1599 Å, with angles of 90.00, 90.00 and 90.00 degrees. The inequivalent atoms are Pm at (0.0000, 0.0000, 0.0000), Gd at (0.0000, 0.0000, 0.5000), Ag at (0.2500, 0.2500, 0.2500) and Ir at (0.2500, 0.2500, 0.7500).

As for the magnetization: 7.12 μB/f.u. Its formation enthalpy at 0 K is -506 meV per atom.

# 12
Below is a relaxed SmGdAgIr crystal, with properties calculated at the PBE level.

The space group is F-43m (No. 216) and the conventional cell measures 7.1411, 7.1411 and 7.1411 Å, with angles of 90.00, 90.00 and 90.00 degrees. The inequivalent atoms are Sm at (0.0000, 0.0000, 0.0000), Gd at (0.0000, 0.0000, 0.5000), Ag at (0.2500, 0.2500, 0.7500) and Ir at (0.2500, 0.2500, 0.2500).

As for the magnetization: 7.12 μB/f.u. Its formation enthalpy at 0 K is -518 meV per atom.